No. 1
The following is a PBE-GGA calculation of Ce4TlCd3 after structural relaxation, from the Alexandria database.

Cell: 5.021 3.252 14.722 Å, 116.25 99.82 90.00°
Site moments in Bohr magnetons follow the coordinates.
Sites, in units of the cell vectors:
Ce (0.663, 0.651, 0.325)  0.56
Ce (0.337, 0.349, 0.675)  0.56
Ce (0.892, 0.567, 0.783)  0.60
Ce (0.108, 0.433, 0.217)  0.60
Tl (0.500, 0.000, 0.000)  0.00
Cd (0.000, 0.500, 0.000)  0.02
Cd (0.221, 0.384, 0.442)  -0.01
Cd (0.779, 0.616, 0.558)  -0.01

- total magnetic moment (μB per formula unit) = 2.82
- E_form (eV per atom) = 0.081
- calculated volume (Å³ per atom) = 26.46
- DOS at the Fermi energy (states/eV/f.u.) = 17.6

No. 2
The following is a PBE-GGA calculation of Ac2MnGa4Pt3 after structural relaxation, from the Alexandria database.

Cell: 4.381 4.381 10.793 Å, 90.00 90.00 90.00°
Site moments in Bohr magnetons follow the coordinates.
Sites, in units of the cell vectors:
Ac (0.500, 0.000, 0.249)  -0.03
Ac (0.000, 0.500, 0.751)  -0.03
Mn (0.500, 0.500, 0.500)  3.36
Ga (0.500, 0.500, 0.000)  0.00
Ga (0.000, 0.000, 0.000)  0.01
Ga (0.500, 0.000, 0.627)  -0.09
Ga (0.000, 0.500, 0.373)  -0.09
Pt (0.000, 0.000, 0.500)  -0.02
Pt (0.500, 0.000, 0.870)  0.00
Pt (0.000, 0.500, 0.130)  0.00

- total magnetic moment (μB per formula unit) = 3.08
- E_form (eV per atom) = -0.801
- calculated volume (Å³ per atom) = 20.71
- DOS at the Fermi energy (states/eV/f.u.) = 7.8

- calculated volume of number 1 (Ce4TlCd3)?
  26.46 Å³ per atom

- Which formula does entry 1 have?
  Ce4TlCd3